Record 1
DyPO | PBE-GGA | optimized geometry

Cell: 3.630 3.630 11.364 Å, 100.94 100.94 59.91°
Positions (direct):
Dy 0.058 0.058 0.225
Dy 0.942 0.942 0.775
P 0.465 0.465 0.410
P 0.535 0.535 0.590
O 0.299 0.299 0.836
O 0.701 0.701 0.164

Calculated values
Energy relative to the elements, uncorrected = -1982 meV/atom
Symmetry = No. 12
V = 63.2 Å³/f.u.
ρ = 5.50 Mg/m³
Size of the total moment = 0.00 μB/cell
Total DFT energy (no corrections) = -6.9724 eV per atom


Record 2
SrSiHgCl2 | PBE-GGA | optimized geometry

Cell: 5.119 5.119 5.371 Å, 90.00 90.00 90.00°
Positions (direct):
Sr 0.000 0.000 0.000
Si 0.500 0.500 0.500
Hg 0.500 0.500 0.000
Cl 0.000 0.500 0.500
Cl 0.500 0.000 0.500

Calculated values
Energy relative to the elements, uncorrected = -571 meV/atom
Symmetry = No. 123
V = 140.7 Å³/f.u.
ρ = 4.57 Mg/m³
Size of the total moment = 0.00 μB/cell
Total DFT energy (no corrections) = -2.7910 eV per atom


Record 3
HgRhSe2N | PBE-GGA | optimized geometry

Cell: 5.294 5.294 4.008 Å, 90.00 90.00 90.00°
Positions (direct):
Hg 0.000 0.000 0.000
Rh 0.500 0.500 0.500
Se 0.000 0.500 0.000
Se 0.500 0.000 0.000
N 0.000 0.000 0.500

Calculated values
Energy relative to the elements, uncorrected = 1639 meV/atom
Symmetry = No. 123
V = 112.3 Å³/f.u.
ρ = 7.03 Mg/m³
Size of the total moment = 2.18 μB/cell
Total DFT energy (no corrections) = -2.9501 eV per atom


Record 4
DyMn3Fe3 | PBE-GGA | optimized geometry

Cell: 6.056 6.056 6.056 Å, 90.00 90.00 90.00°
Positions (direct):
Dy 0.000 0.000 0.000
Dy 0.500 0.500 0.500
Mn 0.000 0.250 0.500
Mn 0.000 0.750 0.500
Mn 0.250 0.500 0.000
Mn 0.500 0.000 0.250
Mn 0.500 0.000 0.750
Mn 0.750 0.500 0.000
Fe 0.000 0.500 0.250
Fe 0.000 0.500 0.750
Fe 0.250 0.000 0.500
Fe 0.500 0.250 0.000
Fe 0.500 0.750 0.000
Fe 0.750 0.000 0.500

Calculated values
Symmetry = No. 223
ΔE_f = 4.19 eV per formula unit
V = 111.0 Å³/f.u.
ρ = 7.40 Mg/m³
Size of the total moment = 2.67 μB/cell
Total DFT energy (no corrections) = -7.6155 eV per atom


Record 5
CaAl2Te | PBE-GGA | optimized geometry

Cell: 6.468 6.468 4.169 Å, 108.78 108.78 124.34°
Positions (direct):
Ca 0.000 0.000 0.000
Al 0.000 0.500 0.000
Al 0.500 0.000 0.000
Te 0.500 0.500 0.000

Calculated values
Energy relative to the elements, uncorrected = -319 meV/atom
Symmetry = No. 12
V = 104.3 Å³/f.u.
ρ = 3.53 Mg/m³
Size of the total moment = 0.00 μB/cell
Total DFT energy (no corrections) = -3.4758 eV per atom


Record 6
BeAl2Ru | PBE-GGA | optimized geometry

Cell: 4.679 4.679 4.679 Å, 134.29 134.29 66.63°
Positions (direct):
Be 0.000 0.000 0.000
Al 0.500 0.500 0.000
Al 0.750 0.250 0.500
Ru 0.250 0.750 0.500

Calculated values
Symmetry = No. 119
ΔE_f = -1.60 eV per formula unit
V = 51.7 Å³/f.u.
ρ = 5.27 Mg/m³
Size of the total moment = 0.00 μB/cell
Total DFT energy (no corrections) = -5.5227 eV per atom


Record 7
Be2PBr | PBE-GGA | optimized geometry

Cell: 5.832 5.832 5.832 Å, 146.83 110.43 79.27°
Positions (direct):
Be 0.185 0.000 0.185
Be 0.815 0.000 0.815
P 0.000 0.500 0.500
Br 0.500 0.500 0.000

Calculated values
Energy relative to the elements, uncorrected = 228 meV/atom
Symmetry = No. 71
V = 99.5 Å³/f.u.
ρ = 2.15 Mg/m³
Size of the total moment = 0.00 μB/cell
Total DFT energy (no corrections) = -3.4054 eV per atom


Record 8
NaBeCd2Ru | PBE-GGA | optimized geometry

Cell: 4.843 4.843 4.320 Å, 90.00 90.00 90.00°
Positions (direct):
Na 0.000 0.000 0.000
Be 0.000 0.000 0.500
Cd 0.000 0.500 0.000
Cd 0.500 0.000 0.000
Ru 0.500 0.500 0.500

Calculated values
Symmetry = No. 123
ΔE_f = 7.94 eV per formula unit
V = 101.3 Å³/f.u.
ρ = 5.86 Mg/m³
Size of the total moment = 1.42 μB/cell
Total DFT energy (no corrections) = -1.6420 eV per atom


Record 9
TmCd2Hg5 | PBE-GGA | optimized geometry

Cell: 6.318 6.318 6.318 Å, 108.04 108.04 112.38°
Positions (direct):
Tm 0.000 0.000 0.000
Cd 0.001 0.501 0.500
Cd 0.501 0.001 0.500
Hg 0.001 0.001 0.501
Hg 0.001 0.500 0.000
Hg 0.500 0.001 0.000
Hg 0.500 0.500 0.499
Hg 0.501 0.501 0.000

Calculated values
Symmetry = No. 107
ΔE_f = -0.87 eV per formula unit
V = 193.7 Å³/f.u.
ρ = 11.97 Mg/m³
Size of the total moment = 0.00 μB/cell
Total DFT energy (no corrections) = -1.0845 eV per atom


Record 10
La2MgHgH | PBE-GGA | optimized geometry

Cell: 5.026 5.026 4.656 Å, 90.00 90.00 90.00°
Positions (direct):
La 0.000 0.500 0.000
La 0.500 0.000 0.000
Mg 0.000 0.000 0.500
Hg 0.500 0.500 0.500
H 0.000 0.000 0.000

Calculated values
Symmetry = No. 123
V = 117.6 Å³/f.u.
ρ = 7.11 Mg/m³
Size of the total moment = 0.00 μB/cell
Total DFT energy (no corrections) = -3.3651 eV per atom


Record 11
Pm2Er4Sn3O2 | PBE-GGA | optimized geometry

Cell: 13.052 13.052 13.052 Å, 159.60 159.60 29.01°
Positions (direct):
Pm 0.195 0.195 0.000
Pm 0.805 0.805 0.000
Er 0.082 0.582 0.500
Er 0.418 0.918 0.500
Er 0.582 0.082 0.500
Er 0.918 0.418 0.500
Sn 0.325 0.325 0.000
Sn 0.500 0.500 0.000
Sn 0.675 0.675 0.000
O 0.092 0.092 0.000
O 0.908 0.908 0.000

Calculated values
Energy relative to the elements, uncorrected = -1541 meV/atom
Symmetry = No. 139
V = 270.0 Å³/f.u.
ρ = 8.28 Mg/m³
Size of the total moment = 0.00 μB/cell
Total DFT energy (no corrections) = -6.0569 eV per atom


Record 12
Na2PaCuCl8 | PBE-GGA | optimized geometry

Cell: 6.238 8.887 6.396 Å, 90.00 97.72 90.00°
Positions (direct):
Na 0.000 0.218 0.000
Na 0.000 0.782 0.000
Pa 0.500 0.500 0.500
Cu 0.500 0.000 0.500
Cl 0.224 0.500 0.163
Cl 0.251 0.000 0.227
Cl 0.287 0.294 0.660
Cl 0.287 0.706 0.660
Cl 0.713 0.294 0.340
Cl 0.713 0.706 0.340
Cl 0.749 0.000 0.773
Cl 0.776 0.500 0.837

Calculated values
Energy relative to the elements, uncorrected = -1570 meV/atom
Symmetry = No. 10
V = 351.4 Å³/f.u.
ρ = 2.95 Mg/m³
Size of the total moment = 0.20 μB/cell
Total DFT energy (no corrections) = -4.1539 eV per atom


Record 13
NdDyCu10 | PBE-GGA | optimized geometry

Cell: 4.112 5.090 8.746 Å, 90.00 90.00 90.00°
Positions (direct):
Nd 0.000 0.000 0.000
Dy 0.000 0.500 0.500
Cu 0.000 0.000 0.337
Cu 0.000 0.000 0.663
Cu 0.000 0.500 0.170
Cu 0.000 0.500 0.830
Cu 0.500 0.000 0.500
Cu 0.500 0.253 0.254
Cu 0.500 0.253 0.746
Cu 0.500 0.500 0.000
Cu 0.500 0.747 0.254
Cu 0.500 0.747 0.746

Calculated values
Symmetry = No. 47
ΔE_f = -2.14 eV per formula unit
V = 183.1 Å³/f.u.
ρ = 8.55 Mg/m³
Size of the total moment = 0.00 μB/cell
Total DFT energy (no corrections) = -4.3726 eV per atom


Record 14
K2LaCd2Te4 | PBE-GGA | optimized geometry

Cell: 9.134 9.134 8.870 Å, 113.17 113.17 28.93°
Positions (direct):
K 0.126 0.126 0.066
K 0.874 0.874 0.934
La 0.000 0.000 0.500
Cd 0.310 0.310 0.487
Cd 0.690 0.690 0.513
Te 0.198 0.198 0.731
Te 0.476 0.476 0.739
Te 0.524 0.524 0.261
Te 0.802 0.802 0.269

Calculated values
Energy relative to the elements, uncorrected = -911 meV/atom
Symmetry = No. 12
V = 327.1 Å³/f.u.
ρ = 4.83 Mg/m³
Size of the total moment = 0.00 μB/cell
Total DFT energy (no corrections) = -3.3017 eV per atom


Record 15
MnCrFe2 | PBE-GGA | optimized geometry

Cell: 2.450 2.450 8.013 Å, 90.00 90.00 109.14°
Positions (direct):
Mn 0.000 0.000 0.000
Cr 0.500 0.500 0.244
Fe 0.000 0.000 0.495
Fe 0.500 0.500 0.747

Calculated values
Symmetry = No. 35
ΔE_f = 0.23 eV per formula unit
V = 45.5 Å³/f.u.
ρ = 7.99 Mg/m³
Size of the total moment = 5.33 μB/cell
Total DFT energy (no corrections) = -8.8720 eV per atom


Record 16
NaMgGa2 | PBE-GGA | optimized geometry

Cell: 4.355 4.355 4.309 Å, 90.00 90.00 90.00°
Positions (direct):
Na 0.000 0.000 0.000
Mg 0.500 0.500 0.000
Ga 0.000 0.500 0.500
Ga 0.500 0.000 0.500

Calculated values
Symmetry = No. 123
ΔE_f = -0.15 eV per formula unit
V = 81.7 Å³/f.u.
ρ = 3.79 Mg/m³
Size of the total moment = 0.00 μB/cell
Total DFT energy (no corrections) = -2.2782 eV per atom


Record 17
HoTi2Se4 | PBE-GGA | optimized geometry

Cell: 6.431 6.431 13.115 Å, 90.00 90.00 145.78°
Positions (direct):
Ho 0.130 0.870 0.750
Ho 0.870 0.130 0.250
Ti 0.379 0.621 0.564
Ti 0.379 0.621 0.936
Ti 0.621 0.379 0.064
Ti 0.621 0.379 0.436
Se 0.000 0.000 0.000
Se 0.000 0.000 0.500
Se 0.270 0.730 0.112
Se 0.270 0.730 0.388
Se 0.457 0.543 0.750
Se 0.543 0.457 0.250
Se 0.730 0.270 0.612
Se 0.730 0.270 0.888

Calculated values
Energy relative to the elements, uncorrected = -1289 meV/atom
Symmetry = No. 63
V = 152.5 Å³/f.u.
ρ = 6.28 Mg/m³
Size of the total moment = 4.47 μB/cell
Total DFT energy (no corrections) = -6.1895 eV per atom


Record 18
InFeBiPd2 | PBE-GGA | optimized geometry

Cell: 4.953 4.953 4.849 Å, 90.00 90.00 90.00°
Positions (direct):
In 0.000 0.000 0.000
Fe 0.000 0.000 0.500
Bi 0.500 0.500 0.500
Pd 0.000 0.500 0.000
Pd 0.500 0.000 0.000

Calculated values
Symmetry = No. 123
ΔE_f = 3.43 eV per formula unit
V = 119.0 Å³/f.u.
ρ = 8.27 Mg/m³
Size of the total moment = 2.86 μB/cell
Total DFT energy (no corrections) = -4.4076 eV per atom


Record 19
LaV3N | PBE-GGA | optimized geometry

Cell: 4.193 4.193 4.193 Å, 90.00 90.00 90.00°
Positions (direct):
La 0.000 0.000 0.000
V 0.000 0.500 0.500
V 0.500 0.000 0.500
V 0.500 0.500 0.000
N 0.500 0.500 0.500

Calculated values
Energy relative to the elements, uncorrected = 29 meV/atom
Symmetry = No. 221
V = 73.7 Å³/f.u.
ρ = 6.89 Mg/m³
Size of the total moment = 0.00 μB/cell
Total DFT energy (no corrections) = -8.0928 eV per atom


Record 20
Be2NbAg | PBE-GGA | optimized geometry

Cell: 5.319 5.319 5.319 Å, 105.75 105.75 117.19°
Positions (direct):
Be 0.107 0.625 0.982
Be 0.375 0.357 0.482
Be 0.643 0.125 0.018
Be 0.875 0.893 0.518
Nb 0.250 0.750 0.500
Nb 0.500 0.500 0.000
Ag 0.000 0.000 0.000
Ag 0.750 0.250 0.500

Calculated values
Symmetry = No. 122
ΔE_f = 2.18 eV per formula unit
V = 57.1 Å³/f.u.
ρ = 6.36 Mg/m³
Size of the total moment = 0.00 μB/cell
Total DFT energy (no corrections) = -4.5484 eV per atom